Entry 1:
# DyY2In2Hg2

A relaxed DyY2In2Hg2 crystal (PBE, Alexandria).

Cell lengths 4.9378, 4.9378, 26.6474 Å; angles 90.00, 90.00, 120.00 degrees
Space group R-3m (No. 166, hexagonal axes)
Inequivalent atoms, fractional coordinates:
Dy  0.0000  0.0000  0.0000
Y  0.0000  0.0000  0.1305
In  0.0000  0.0000  0.2696
Hg  0.0000  0.0000  0.4248

Results
The calculation puts the total energy at -76.4 eV/cell. The formation energy comes out at -1.85 eV per formula unit.

Entry 2:
# CsSi2AgMo

A relaxed CsSi2AgMo crystal (PBE, Alexandria).

Cell lengths 5.569, 5.569, 5.306 Å; angles 90.00, 90.00, 90.00 degrees
Space group P4/mmm (No. 123)
Inequivalent atoms, fractional coordinates:
Cs  0.000  0.000  0.000
Si  0.000  0.500  0.000
Ag  0.500  0.500  0.500
Mo  0.000  0.000  0.500

Results
The calculation puts the total energy at -11.7 eV/cell.

Entry 3:
# DyTm2NpO8

A relaxed DyTm2NpO8 crystal (PBE, Alexandria).

Cell lengths 7.088, 7.172, 6.937 Å; angles 90.00, 90.00, 90.00 degrees
Space group Cmmm (No. 65)
Inequivalent atoms, fractional coordinates:
Dy  0.000  0.000  0.000
Tm  0.000  0.500  0.239
Np  0.000  0.000  0.500
O  0.000  0.186  0.276
O  0.190  0.500  0.000
O  0.216  0.500  0.500

Results
The calculation puts the total energy at -209.6 eV/cell.

Entry 4:
# Sm2B7Rh12

A relaxed Sm2B7Rh12 crystal (PBE, Alexandria).

Cell lengths 8.8767, 8.8767, 3.9708 Å; angles 90.00, 90.00, 120.00 degrees
Space group P-3 (No. 147)
Inequivalent atoms, fractional coordinates:
Sm  0.3333  0.6667  0.2473
B  0.0000  0.0000  0.0000
B  0.1044  0.4046  0.7441
Rh  0.0627  0.6226  0.7497
Rh  0.0953  0.8520  0.2475

Results
The calculation puts the total energy at -153.6 eV/cell. The formation energy comes out at -9.16 eV per formula unit.

Entry 5:
# Ta2VAu

A relaxed Ta2VAu crystal (PBE, Alexandria).

Cell lengths 6.476, 6.476, 6.476 Å; angles 90.00, 90.00, 90.00 degrees
Space group Fm-3m (No. 225)
Inequivalent atoms, fractional coordinates:
Ta  0.250  0.250  0.250
V  0.000  0.000  0.000
Au  0.000  0.000  0.500

Results
The calculation puts the total energy at -142.0 eV/cell. The formation energy comes out at 0.60 eV per formula unit. Its distance to the lowest polymorph of the same formula is 173 meV/atom.

Entry 6:
# Ba2Th4P3N2

A relaxed Ba2Th4P3N2 crystal (PBE, Alexandria).

Cell lengths 4.783, 4.783, 24.833 Å; angles 90.00, 90.00, 90.00 degrees
Space group I4/mmm (No. 139)
Inequivalent atoms, fractional coordinates:
Ba  0.000  0.000  0.201
Th  0.000  0.500  0.075
P  0.000  0.000  0.342
P  0.000  0.000  0.500
N  0.000  0.000  0.092

Results
The calculation puts the total energy at -158.1 eV/cell.

Entry 7:
# Dy3Th3Si4

A relaxed Dy3Th3Si4 crystal (PBE, Alexandria).

Cell lengths 4.026, 10.998, 11.009 Å; angles 90.00, 90.00, 90.00 degrees
Space group Amm2 (No. 38)
Inequivalent atoms, fractional coordinates:
Dy  0.000  0.000  0.000
Dy  0.000  0.175  0.679
Th  0.000  0.000  0.358
Th  0.500  0.248  0.427
Si  0.500  0.000  0.569
Si  0.500  0.000  0.794
Si  0.500  0.116  0.173

Results
The calculation puts the total energy at -128.1 eV/cell.

Entry 8:
# TbPrSbAs

A relaxed TbPrSbAs crystal (PBE, Alexandria).

Cell lengths 4.3040, 4.3040, 22.1231 Å; angles 90.00, 90.00, 120.00 degrees
Space group R3m (No. 160, hexagonal axes)
Inequivalent atoms, fractional coordinates:
Tb  0.0000  0.0000  0.0000
Pr  0.0000  0.0000  0.8192
Sb  0.0000  0.0000  0.5802
As  0.0000  0.0000  0.4050

Results
The calculation puts the total energy at -69.3 eV/cell.

Entry 9:
# NiB2Br8

A relaxed NiB2Br8 crystal (PBE, Alexandria).

Cell lengths 18.093, 9.137, 11.387 Å; angles 90.00, 126.48, 90.00 degrees
Space group C2/c (No. 15)
Inequivalent atoms, fractional coordinates:
Ni  0.000  0.023  0.250
B  0.080  0.222  0.535
Br  0.051  0.220  0.152
Br  0.082  0.191  0.716
Br  0.141  0.047  0.507
Br  0.145  0.407  0.564

Results
The calculation puts the total energy at -147.6 eV/cell.

Entry 10:
# Ho5Sb4S

A relaxed Ho5Sb4S crystal (PBE, Alexandria).

Cell lengths 4.297, 4.297, 30.173 Å; angles 90.00, 90.00, 90.00 degrees
Space group I4/mmm (No. 139)
Inequivalent atoms, fractional coordinates:
Ho  0.000  0.000  0.000
Ho  0.000  0.000  0.201
Ho  0.000  0.000  0.407
Sb  0.000  0.000  0.099
Sb  0.000  0.000  0.303
S  0.000  0.000  0.500

Results
The calculation puts the total energy at -111.9 eV/cell. Its distance to the lowest polymorph of the same formula is 17 meV/atom.

Entry 11:
# KRu2Pt

A relaxed KRu2Pt crystal (PBE, Alexandria).

Cell lengths 5.027, 5.027, 2.762 Å; angles 90.00, 90.00, 90.00 degrees
Space group P4/mmm (No. 123)
Inequivalent atoms, fractional coordinates:
K  0.000  0.000  0.000
Ru  0.000  0.500  0.500
Pt  0.500  0.500  0.000

Results
The calculation puts the total energy at -21.0 eV/cell. The formation energy comes out at 4.72 eV per formula unit. Its distance to the lowest polymorph of the same formula is 743 meV/atom.

Entry 12:
# Li4Ni3H10

A relaxed Li4Ni3H10 crystal (PBE, Alexandria).

Cell lengths 3.255, 3.255, 22.680 Å; angles 90.00, 90.00, 90.00 degrees
Space group I4/mmm (No. 139)
Inequivalent atoms, fractional coordinates:
Li  0.000  0.000  0.069
Li  0.000  0.000  0.201
Ni  0.000  0.000  0.357
Ni  0.000  0.000  0.500
H  0.000  0.000  0.287
H  0.000  0.000  0.427
H  0.000  0.500  0.000
H  0.000  0.500  0.140

Results
The calculation puts the total energy at -126.8 eV/cell.